(1)
A plane-wave DFT calculation with GGA-PBE was carried out for an optimized crystal structure of TbSm2F8.

For the raw formation energy, the calculation gives -3.85 eV per atom. The symmetry is C2/m, No. 12. The calculated density is 6.792 g cm⁻³.

a b c (Å): 7.8037 7.8037 5.6885
angles (deg): 110.27 110.27 27.52
Fractional positions:
Tb 0.0000 0.0000 0.0000
Sm 0.3244 0.3244 0.3225
Sm 0.6756 0.6756 0.6775
F 0.0941 0.0941 0.4357
F 0.1758 0.1758 0.9600
F 0.2767 0.2767 0.6723
F 0.4573 0.4573 0.2143
F 0.5427 0.5427 0.7857
F 0.7233 0.7233 0.3277
F 0.8242 0.8242 0.0400
F 0.9059 0.9059 0.5643


(2)
A plane-wave DFT calculation with GGA-PBE was carried out for an optimized crystal structure of Be2TlCl.

The energy above the most stable polymorph in this dataset is 750 meV per atom. For the raw formation energy, the calculation gives 0.91 eV per atom. The symmetry is F-43m, No. 216. The calculated density is 5.081 g cm⁻³.

a b c (Å): 4.9210 4.9210 4.9210
angles (deg): 60.00 60.00 60.00
Fractional positions:
Be 0.0000 0.0000 0.0000
Be 0.2500 0.2500 0.2500
Tl 0.7500 0.7500 0.7500
Cl 0.5000 0.5000 0.5000


(3)
A plane-wave DFT calculation with GGA-PBE was carried out for an optimized crystal structure of ZnFe2Pb.

The value obtained for the energy of formation from the pure elements is 0.442 eV/atom. The symmetry is I4/mmm, No. 139. The calculated density is 10.061 g cm⁻³.

a b c (Å): 4.9178 4.9178 4.9178
angles (deg): 132.50 132.50 69.44
Fractional positions:
Zn 0.0000 0.0000 0.0000
Fe 0.2500 0.7500 0.5000
Fe 0.7500 0.2500 0.5000
Pb 0.5000 0.5000 0.0000


(4)
A plane-wave DFT calculation with GGA-PBE was carried out for an optimized crystal structure of PmNdLuTl.

The value obtained for the energy of formation from the pure elements is -0.074 eV/atom. The symmetry is F-43m, No. 216. The calculated density is 9.211 g cm⁻³.

a b c (Å): 5.5446 5.5446 5.5446
angles (deg): 60.00 60.00 60.00
Fractional positions:
Pm 0.0000 0.0000 0.0000
Nd 0.5000 0.5000 0.5000
Lu 0.2500 0.2500 0.2500
Tl 0.7500 0.7500 0.7500


Calculated uncorrected energy (Ha/atom), listed in the same order as above: -0.2386; -0.0739; -0.1850; -0.1534
Calculated calculated volume (A^3/atom), listed in the same order as above: 13.59; 21.07; 15.86; 30.13